VASP calculation (GGA-PBE) on a relaxed structure of Gd2AsPb.

Structure (CIF):
```
data_Gd2AsPb
_cell_length_a 3.589
_cell_length_b 3.589
_cell_length_c 8.150
_cell_angle_alpha 90.00
_cell_angle_beta 90.00
_cell_angle_gamma 90.00
_symmetry_space_group_name_H-M 'P 4/m m m'
_symmetry_Int_Tables_number 123
_symmetry_space_group_name_Hall '-P 4 2'
loop_
_atom_site_label
_atom_site_type_symbol
_atom_site_fract_x
_atom_site_fract_y
_atom_site_fract_z
_atom_site_occupancy
Gd1 Gd 0.000 0.000 0.211 1
As1 As 0.500 0.500 0.000 1
Pb1 Pb 0.500 0.500 0.500 1
```

Properties
Its distance to the lowest polymorph of the same formula is 152 meV per atom. The calculation puts the magnetic moment at 3.669 μB per atom. As for the energy relative to the elements: -840 meV/atom.